(1)
DFT (PBE) results for a relaxed Pu4AsC2 crystal.

Cell lengths 6.294, 6.294, 11.932 Å; angles 90.00, 90.00, 144.93 degrees
Atoms (fractional coordinates):
Pu1 0.000 0.000 0.000
Pu2 0.000 0.000 0.500
Pu3 0.269 0.731 0.616
Pu4 0.269 0.731 0.884
Pu5 0.407 0.593 0.250
Pu6 0.593 0.407 0.750
Pu7 0.731 0.269 0.116
Pu8 0.731 0.269 0.384
As1 0.088 0.912 0.250
As2 0.912 0.088 0.750
C1 0.363 0.637 0.049
C2 0.363 0.637 0.451
C3 0.637 0.363 0.549
C4 0.637 0.363 0.951

* crystal system: orthorhombic
* E_form: -0.206 eV/atom
* symmetry: No. 63

(2)
DFT (PBE) results for a relaxed HfZr2RuSe crystal.

Cell lengths 5.010, 5.010, 4.687 Å; angles 90.00, 90.00, 90.00 degrees
Atoms (fractional coordinates):
Hf1 0.000 0.000 0.000
Zr1 0.000 0.500 0.500
Zr2 0.500 0.000 0.500
Ru1 0.500 0.500 0.500
Se1 0.500 0.500 0.000

* energy relative to the elements, uncorrected: 457 meV/atom
* crystal system: tetragonal
* symmetry: No. 123

(3)
DFT (PBE) results for a relaxed Pr2Y3Ga4 crystal.

Cell lengths 8.702, 8.702, 8.652 Å; angles 90.00, 90.00, 132.77 degrees
Atoms (fractional coordinates):
Pr1 0.107 0.893 0.920
Pr2 0.393 0.607 0.420
Pr3 0.607 0.393 0.580
Pr4 0.893 0.107 0.080
Y1 0.000 0.000 0.500
Y2 0.036 0.464 0.750
Y3 0.464 0.036 0.250
Y4 0.500 0.500 0.000
Y5 0.536 0.964 0.750
Y6 0.964 0.536 0.250
Ga1 0.187 0.813 0.541
Ga2 0.218 0.282 0.750
Ga3 0.282 0.218 0.250
Ga4 0.313 0.687 0.041
Ga5 0.687 0.313 0.959
Ga6 0.718 0.782 0.750
Ga7 0.782 0.718 0.250
Ga8 0.813 0.187 0.459

* crystal system: orthorhombic
* ΔE to the lowest computed polymorph: 155 meV per atom
* E_form: -0.437 eV/atom
* symmetry: No. 64